A geometry-optimized LiTmAl structure. Source: Alexandria, functional PBE-GGA.

Lattice parameters (Å, degrees): 4.737 6.871 6.871 120.00 90.00 90.00
Element x y z (fractional)
Tm: 0.000 0.000 0.440
Tm: 0.000 0.560 0.560
Tm: 0.000 0.440 0.000
Al: 0.500 0.333 0.667
Al: 0.000 0.000 0.000
Al: 0.500 0.667 0.333
Li: 0.500 0.000 0.775
Li: 0.500 0.225 0.225
Li: 0.500 0.775 0.000

Calculated values
formation enthalpy at 0 K: -0.198 eV/atom
polymorph energy (0 for the lowest one): 1 meV/atom
electronic total energy: -0.1314 Ha/atom
M_tot: 0.0 μB/cell